Model i:
Density functional theory data (GGA-PBE) for Be2CdB2 after structural relaxation.

```
Be2CdB2
1.0
2.769 0.000 0.000
0.000 2.769 0.000
1.384 1.384 6.955
B Be Cd
2 2 1
Cartesian
1.384 2.769 3.477 B
2.769 1.384 3.477 B
1.384 1.384 2.094 Be
2.769 2.769 4.860 Be
0.000 0.000 0.000 Cd
```

Values from the calculation:
The space group is I4/mmm (139).

=====

Model ii:
Density functional theory data (GGA-PBE) for Be2CdB2 after structural relaxation.

```
Be2CdB2
1.0
-5.838 0.387 0.566
-0.683 -2.932 -5.049
-0.026 -2.665 1.551
Be B Cd
4 4 2
Cartesian
-5.351 -2.083 -0.605 Be
-1.196 -3.127 -2.327 Be
-4.281 -3.643 -3.266 Be
-2.267 -1.568 0.334 Be
-3.548 -0.052 -0.150 B
-2.973 -2.493 -4.334 B
-5.683 -1.399 -2.500 B
-0.839 -1.146 -1.983 B
-3.261 -1.273 -2.242 Cd
0.000 0.000 0.000 Cd
```

Values from the calculation:
The space group is P4/mbm (127).

=====

Model iii:
Density functional theory data (GGA-PBE) for Be2CdB2 after structural relaxation.

```
Be2CdB2
1.0
-0.011 2.564 -5.984
1.157 -5.888 -2.525
-2.396 -0.399 -0.167
Be B Cd
4 4 2
Cartesian
0.132 0.883 -4.013 Be
1.014 -4.208 -4.496 Be
0.707 -1.395 -6.832 Be
0.438 -1.930 -1.677 Be
-1.011 -0.313 -2.505 B
-0.431 -3.693 -2.750 B
-0.820 -0.032 -5.926 B
-0.240 -3.411 -6.171 B
0.000 0.000 0.000 Cd
0.573 -1.662 -4.255 Cd
```

Values from the calculation:
The space group is P4/mbm (127).

=====

Energy above the most stable structure, in meV/atom: model i 0; model ii 158; model iii 546

=====

Model i:
Density functional theory data (GGA-PBE) for BeB2Cl after structural relaxation.

```
BeB2Cl
1.0
4.668 0.000 0.000
0.000 4.668 0.000
2.334 2.334 4.624
Cl B Be
2 4 2
Cartesian
4.668 2.334 2.312 Cl
0.000 0.000 0.000 Cl
1.395 3.501 1.156 B
5.835 5.607 3.468 B
3.501 3.729 3.468 B
3.273 1.167 1.156 B
2.334 2.334 0.000 Be
2.334 4.668 2.312 Be
```

Values from the calculation:
The space group is I-42d (122).

=====

Model ii:
Density functional theory data (GGA-PBE) for BeB2Cl after structural relaxation.

```
BeB2Cl
1.0
0.000 2.840 2.840
2.840 0.000 2.840
2.840 2.840 0.000
Be B Cl
1 2 1
Cartesian
0.000 0.000 0.000 Be
1.420 1.420 1.420 B
4.259 4.259 4.259 B
2.840 2.840 2.840 Cl
```

Values from the calculation:
The space group is Fm-3m (225).

=====

Energy above the most stable structure, in meV/atom: model i 0; model ii 897

=====

Model i:
Density functional theory data (GGA-PBE) for BeBPCl2 after structural relaxation.

```
BeBPCl2
1.0
4.186 0.000 0.000
0.000 4.186 0.000
0.000 0.000 4.498
Cl P B Be
2 1 1 1
Cartesian
2.093 0.000 0.000 Cl
0.000 2.093 0.000 Cl
0.000 0.000 2.249 P
0.000 0.000 0.000 B
2.093 2.093 2.249 Be
```

Values from the calculation:
The space group is P4/mmm (123).

=====

Model ii:
Density functional theory data (GGA-PBE) for BeBPCl2 after structural relaxation.

```
BeBPCl2
1.0
-0.032 -3.585 -2.414
3.796 1.130 -1.729
2.221 -2.294 3.377
Cl P B Be
2 1 1 1
Cartesian
1.898 0.565 -0.865 Cl
-0.016 -1.792 -1.207 Cl
1.111 -1.147 1.688 P
2.993 -2.374 -0.383 B
0.000 0.000 0.000 Be
```

Values from the calculation:
The space group is P4/mmm (123).

=====

Energy above the most stable structure, in meV/atom: model i 19; model ii 0